# 1
{
  "formula": "LaBeW2Au",
  "functional": "PBE",
  "state": "relaxed",
  "e_form_ev_per_atom": 0.67,
  "sg": "P4/mmm (123)",
  "lattice_angstrom": [[4.5096, 0.0000, 0.0000], [0.0000, 4.5096, 0.0000], [0.0000, 0.0000, 4.5312]],
  "species": ["La", "Be", "W", "W", "Au"],
  "frac_coords": [[0.0000, 0.0000, 0.0000], [0.5000, 0.5000, 0.5000], [0.0000, 0.5000, 0.5000], [0.5000, 0.0000, 0.5000], [0.5000, 0.5000, 0.0000]]
}

=====

# 2
{
  "formula": "Ba4LiRh",
  "functional": "PBE",
  "state": "relaxed",
  "e_form_ev_per_atom": 0.76,
  "sg": "F-43m (216)",
  "de_polymorph_mev_per_atom": 823,
  "lattice_angstrom": [[0.0000, 5.0235, 5.0235], [5.0235, 0.0000, 5.0235], [5.0235, 5.0235, 0.0000]],
  "species": ["Ba", "Ba", "Ba", "Ba", "Li", "Rh"],
  "frac_coords": [[0.3764, 0.3764, 0.3764], [0.3764, 0.3764, 0.8707], [0.3764, 0.8707, 0.3764], [0.8707, 0.3764, 0.3764], [0.0000, 0.0000, 0.0000], [0.7500, 0.7500, 0.7500]]
}

=====

# 3
{
  "formula": "BaLi2HCl",
  "functional": "PBE",
  "state": "relaxed",
  "sg": "P4/mmm (123)",
  "lattice_angstrom": [[4.4639, 0.0000, 0.0000], [0.0000, 4.4639, 0.0000], [0.0000, 0.0000, 7.2239]],
  "species": ["Ba", "Li", "Li", "H", "Cl"],
  "frac_coords": [[0.0000, 0.0000, 0.0000], [0.0000, 0.5000, 0.5000], [0.5000, 0.0000, 0.5000], [0.5000, 0.5000, 0.0000], [0.5000, 0.5000, 0.5000]]
}

=====

no.,M_tot (μB per cell),total energy (eV per formula unit)
1,0.000,-34.51
2,0.000,-12.41
3,0.000,-13.41